The following is a PBE calculation of a geometry-optimized KNiPb2Cl8 structure, from Alexandria.

Formation energy without anion corrections (eV/atom): -1.003
Volume (Å³/atom): 29.73
DOS(E_F) (states/eV/f.u.): 1.74
Space-group type: No. 10
Total magnetic moment (Bohr magnetons per cell): 0.99

Cell lengths 6.594, 6.318, 8.576 Å; angles 89.99, 90.00, 86.95 degrees
Fractional coordinates of all 12 atoms:
Cl 0.853 0.208 0.811
Cl 0.147 0.792 0.189
Cl 0.147 0.792 0.811
Cl 0.646 0.715 0.500
Cl 0.354 0.285 0.500
Cl 0.698 0.764 0.000
Cl 0.302 0.236 0.000
Cl 0.853 0.208 0.189
K 0.000 0.000 0.500
Ni 0.000 0.000 0.000
Pb 0.500 0.500 0.233
Pb 0.500 0.500 0.767



The following is a PBE calculation of a geometry-optimized Ho3PuP4 structure, from Alexandria.

Polymorph energy (0 for the lowest one) (eV/atom): 0.004
Volume (Å³/atom): 22.38
DOS(E_F) (states/eV/f.u.): 11.50
Space-group type: No. 65
Total magnetic moment (Bohr magnetons per cell): 4.88

Cell lengths 3.995, 6.895, 6.895 Å; angles 109.50, 90.00, 90.00 degrees
Fractional coordinates of all 8 atoms:
P 0.000 0.752 0.752
P 0.500 0.249 0.751
P 0.500 0.751 0.249
P 0.000 0.248 0.248
Ho 0.500 0.500 0.500
Ho 0.000 0.000 0.500
Ho 0.000 0.500 0.000
Pu 0.500 0.000 0.000